Computed, not measured: a relaxed structure of ThPaTcPt at the PBE level of DFT.

Summary:
volume = 352 Å³ per cell
size of the total moment = 0.0 μB per formula unit
calculated formation energy = -0.433 eV/atom

a = 7.0617 Å, b = 7.0617 Å, c = 7.0617 Å
α = 90.00°, β = 90.00°, γ = 90.00°
Space group F-43m (No. 216)
One atom of each set of equivalent atoms:
1 Th 0.0000 0.0000 0.0000
2 Pa 0.0000 0.0000 0.5000
3 Tc 0.2500 0.2500 0.7500
4 Pt 0.2500 0.2500 0.2500